Cs2NpTe3: relaxed, PBE.

Unit cell a=9.891 b=14.701 c=8.001 alpha=90.00 beta=114.35 gamma=90.00
Space group C2/c (No. 15)
Symmetry-distinct sites (fractional):
Cs1 0.000 0.071 0.250 (multiplicity 4)
Cs2 0.000 0.227 0.750 (multiplicity 4)
Np1 0.000 0.407 0.250 (multiplicity 4)
Te1 0.169 0.436 0.009 (multiplicity 8)
Te2 0.250 0.250 0.500 (multiplicity 4)

Calculated values
Uncorrected formation energy: -789 meV per atom
Volume: 1060 Å³ per cell
Fermi-level density of states: 41.6 states/eV/cell



SrZnGe: relaxed, PBE.

Unit cell a=4.3289 b=4.3289 c=4.6680 alpha=90.00 beta=90.00 gamma=120.00
Space group P-6m2 (No. 187)
Symmetry-distinct sites (fractional):
Sr1 0.0000 0.0000 0.0000 (multiplicity 1)
Zn1 0.3333 0.6667 0.5000 (multiplicity 1)
Ge1 0.6667 0.3333 0.5000 (multiplicity 1)

Calculated values
Volume: 76 Å³ per cell
Fermi-level density of states: 1.5 states/eV/cell
Formation energy: -0.507 eV per atom



CsFe3Hg: relaxed, PBE.

Unit cell a=4.853 b=4.853 c=4.853 alpha=90.00 beta=90.00 gamma=90.00
Space group Pm-3m (No. 221)
Symmetry-distinct sites (fractional):
Cs1 0.000 0.000 0.000 (multiplicity 1)
Fe1 0.000 0.000 0.500 (multiplicity 3)
Hg1 0.500 0.500 0.500 (multiplicity 1)

Calculated values
Volume: 114 Å³ per cell
Fermi-level density of states: 4.3 states/eV/cell
Formation energy: 2.375 eV per atom



TbThSc3: relaxed, PBE.

Unit cell a=17.003 b=3.244 c=10.671 alpha=90.00 beta=107.23 gamma=90.00
Space group C2/m (No. 12)
Symmetry-distinct sites (fractional):
Tb1 0.101 0.000 0.055 (multiplicity 4)
Th1 0.104 0.500 0.548 (multiplicity 4)
Sc1 0.007 0.000 0.735 (multiplicity 4)
Sc2 0.197 0.500 0.866 (multiplicity 4)
Sc3 0.199 0.000 0.367 (multiplicity 4)

Calculated values
Volume: 562 Å³ per cell
Fermi-level density of states: 35.3 states/eV/cell
Formation energy: 0.222 eV per atom
Energy above the most stable polymorph in this dataset: 0 meV/atom



CdHg4Te5: relaxed, PBE.

Unit cell a=4.6892 b=4.6892 c=38.4736 alpha=90.00 beta=90.00 gamma=120.00
Space group P3m1 (No. 156)
Symmetry-distinct sites (fractional):
Cd1 0.0000 0.0000 0.0000 (multiplicity 1)
Cd2 0.0000 0.0000 0.1994 (multiplicity 1)
Hg1 0.0000 0.0000 0.3992 (multiplicity 1)
Hg2 0.0000 0.0000 0.5996 (multiplicity 1)
Hg3 0.0000 0.0000 0.8000 (multiplicity 1)
Hg4 0.3333 0.6667 0.0995 (multiplicity 1)
Hg5 0.3333 0.6667 0.2989 (multiplicity 1)
Hg6 0.3333 0.6667 0.4994 (multiplicity 1)
Hg7 0.3333 0.6667 0.6998 (multiplicity 1)
Hg8 0.3333 0.6667 0.9001 (multiplicity 1)
Te1 0.0000 0.0000 0.1246 (multiplicity 1)
Te2 0.0000 0.0000 0.3242 (multiplicity 1)
Te3 0.0000 0.0000 0.5246 (multiplicity 1)
Te4 0.0000 0.0000 0.7250 (multiplicity 1)
Te5 0.0000 0.0000 0.9252 (multiplicity 1)
Te6 0.3333 0.6667 0.0245 (multiplicity 1)
Te7 0.3333 0.6667 0.2240 (multiplicity 1)
Te8 0.3333 0.6667 0.4244 (multiplicity 1)
Te9 0.3333 0.6667 0.6248 (multiplicity 1)
Te10 0.3333 0.6667 0.8251 (multiplicity 1)

Calculated values
Uncorrected formation energy: -219 meV per atom
Volume: 733 Å³ per cell
Fermi-level density of states: 1.6 states/eV/cell
Energy above the most stable polymorph in this dataset: 0 meV/atom



Er2ZrS: relaxed, PBE.

Unit cell a=3.5114 b=3.5114 c=28.8365 alpha=90.00 beta=90.00 gamma=120.00
Space group R-3m (No. 166, hexagonal axes)
Symmetry-distinct sites (fractional):
Er1 0.0000 0.0000 0.1072 (multiplicity 6)
Zr1 0.0000 0.0000 0.0000 (multiplicity 3)
S1 0.0000 0.0000 0.5000 (multiplicity 3)

Calculated values
Uncorrected formation energy: -534 meV per atom
Volume: 308 Å³ per cell
Fermi-level density of states: 15.1 states/eV/cell



Ag2PPt: relaxed, PBE.

Unit cell a=5.290 b=8.736 c=2.867 alpha=90.00 beta=90.00 gamma=90.00
Space group Cmmm (No. 65)
Symmetry-distinct sites (fractional):
Ag1 0.250 0.250 0.000 (multiplicity 4)
P1 0.000 0.000 0.500 (multiplicity 2)
Pt1 0.000 0.500 0.500 (multiplicity 2)

Calculated values
Volume: 132 Å³ per cell
Fermi-level density of states: 4.3 states/eV/cell
Formation energy: 0.204 eV per atom



YPuInAg: relaxed, PBE.

Unit cell a=7.478 b=7.478 c=7.478 alpha=90.00 beta=90.00 gamma=90.00
Space group F-43m (No. 216)
Symmetry-distinct sites (fractional):
Y1 0.000 0.000 0.000 (multiplicity 4)
Pu1 0.000 0.000 0.500 (multiplicity 4)
In1 0.250 0.250 0.750 (multiplicity 4)
Ag1 0.250 0.250 0.250 (multiplicity 4)

Calculated values
Volume: 418 Å³ per cell
Fermi-level density of states: 40.3 states/eV/cell
Formation energy: -0.163 eV per atom



Number 1: VASP energy -4.801 eV per atom. Number 2: VASP energy -3.032 eV per atom. Number 3: VASP energy -2.934 eV per atom. Number 4: VASP energy -5.987 eV per atom. Number 5: VASP energy -2.002 eV per atom. Number 6: VASP energy -5.984 eV per atom. Number 7: VASP energy -4.084 eV per atom. Number 8: VASP energy -6.759 eV per atom.